[1]
The following is a PBE calculation of a relaxed Ti3TcIr crystal, from Alexandria via LeMat-Bulk.

Properties
Fermi-level density of states	2.51	states/eV per atom
polymorph energy (0 for the lowest one)	0.000	eV per formula unit
SG	Pm-3m
E_form	0.67	eV/atom

Cell: 4.577 4.577 4.577 Å, 90.00 90.00 90.00°
Element x y z (fractional)
1 Ti 0.000 0.000 0.500
2 Ti 0.000 0.500 0.000
3 Ti 0.500 0.000 0.000
4 Tc 0.000 0.000 0.000
5 Ir 0.500 0.500 0.500


[2]
The following is a PBE calculation of a relaxed Ti2TcIr crystal, from Alexandria via LeMat-Bulk.

Properties
Fermi-level density of states	1.24	states/eV per atom
polymorph energy (0 for the lowest one)	4.277	eV per formula unit
SG	I-42d
E_form	0.23	eV/atom

Cell: 8.905 8.905 8.905 Å, 153.93 153.93 37.21°
Element x y z (fractional)
1 Ti 0.122 0.625 0.997
2 Ti 0.375 0.372 0.497
3 Ti 0.628 0.125 0.003
4 Ti 0.875 0.878 0.503
5 Tc 0.000 0.000 0.000
6 Tc 0.750 0.250 0.500
7 Ir 0.250 0.750 0.500
8 Ir 0.500 0.500 0.000